Record 1
Ac4CoNi2: optimized geometry, PBE-GGA.

Properties
spin magnetization: 0.00 μB/f.u.
symmetry: No. 10
DFT formation energy: -0.10 eV per atom
D(E_F): 0.56 states/eV/atom

```
7
Lattice="7.0083 0.0000 0.0000 0.0000 4.2181 0.0000 -2.0851 0.0000 7.3124" Properties=species:S:1:pos:R:3 pbc="T T T"
Ac 0.0041 0.0000 1.9480
Ac 1.2671 2.1091 5.4252
Ac 3.6562 2.1091 1.8872
Ac 4.9192 0.0000 5.3644
Co -1.0425 2.1091 3.6562
Ni 2.3146 0.0000 0.0367
Ni 2.6087 0.0000 7.2757
```


Record 2
Ac3Co3Ni: optimized geometry, PBE-GGA.

Properties
spin magnetization: 2.56 μB/f.u.
symmetry: No. 63
DFT formation energy: 0.02 eV per atom
D(E_F): 1.23 states/eV/atom

```
14
Lattice="2.2488 -5.2965 0.0000 2.2488 5.2965 0.0000 0.0000 0.0000 13.1265" Properties=species:S:1:pos:R:3 pbc="T T T"
Ac 2.2488 4.9739 9.8449
Ac 2.2488 2.5247 1.3450
Ac 2.2488 2.5247 5.2183
Ac 2.2488 -2.5247 7.9082
Ac 2.2488 -2.5247 11.7816
Ac 2.2488 -4.9739 3.2816
Co 2.2488 1.6123 9.8449
Co 2.2488 0.5745 7.6292
Co 2.2488 0.5745 12.0606
Co 2.2488 -0.5745 1.0659
Co 2.2488 -0.5745 5.4973
Co 2.2488 -1.6123 3.2816
Ni 0.0000 0.0000 0.0000
Ni 0.0000 0.0000 6.5633
```


Number 1: final energy -35.84 eV per cell. Number 2: final energy -78.59 eV per cell.